1.
Density functional theory data (PBE) for CeMgScCd after structural relaxation.

Calculated values
crystal system	cubic
magnetic moment	0.9	μB/f.u.
DOS at the Fermi energy	9.60	states/eV per cell
E	-3.7711	eV per atom
symmetry	F-43m, No. 216
formation enthalpy at 0 K	-30	kJ/mol of formula units

Lattice parameters (Å, degrees): 5.232 5.232 5.232 60.00 60.00 60.00
Site moments in Bohr magnetons follow the coordinates.
Element x y z (fractional)
1 Sc 0.000 0.000 0.000  0.09
2 Cd 0.750 0.750 0.750  0.00
3 Ce 0.500 0.500 0.500  0.67
4 Mg 0.250 0.250 0.250  0.00

---

2.
Density functional theory data (PBE) for CeMgCdSi after structural relaxation.

Calculated values
crystal system	cubic
magnetic moment	0.0	μB/f.u.
DOS at the Fermi energy	5.07	states/eV per cell
E	-3.6838	eV per atom
symmetry	F-43m, No. 216

Lattice parameters (Å, degrees): 5.003 5.003 5.003 60.00 60.00 60.00
Element x y z (fractional)
1 Cd 0.250 0.250 0.250
2 Mg 0.500 0.500 0.500
3 Ce 0.000 0.000 0.000
4 Si 0.750 0.750 0.750

---

3.
Density functional theory data (PBE) for CeSmMgCd after structural relaxation.

Calculated values
crystal system	cubic
magnetic moment	1.5	μB/f.u.
DOS at the Fermi energy	10.73	states/eV per cell
E	-3.3877	eV per atom
symmetry	F-43m, No. 216
formation enthalpy at 0 K	-37	kJ/mol of formula units

Lattice parameters (Å, degrees): 5.421 5.421 5.421 60.00 60.00 60.00
Site moments in Bohr magnetons follow the coordinates.
Element x y z (fractional)
1 Ce 0.750 0.750 0.750  0.93
2 Sm 0.250 0.250 0.250  0.12
3 Cd 0.500 0.500 0.500  0.01
4 Mg 0.000 0.000 0.000  0.01

---

4.
Density functional theory data (PBE) for CeMgCdSn after structural relaxation.

Calculated values
crystal system	cubic
magnetic moment	1.0	μB/f.u.
DOS at the Fermi energy	6.82	states/eV per cell
E	-3.4248	eV per atom
E above lowest polymorph	55	meV/atom
symmetry	F-43m, No. 216
formation enthalpy at 0 K	-121	kJ/mol of formula units

Lattice parameters (Å, degrees): 5.231 5.231 5.231 60.00 60.00 60.00
Site moments in Bohr magnetons follow the coordinates.
Element x y z (fractional)
1 Mg 0.000 0.000 0.000  0.01
2 Ce 0.500 0.500 0.500  0.74
3 Cd 0.750 0.750 0.750  0.02
4 Sn 0.250 0.250 0.250  0.01

---

5.
Density functional theory data (PBE) for CeMgCdSn after structural relaxation.

Calculated values
crystal system	orthorhombic
magnetic moment	0.9	μB/f.u.
DOS at the Fermi energy	6.64	states/eV per cell
E	-3.4799	eV per atom
E above lowest polymorph	0	meV/atom
symmetry	Pmmm, No. 47
formation enthalpy at 0 K	-142	kJ/mol of formula units

Lattice parameters (Å, degrees): 4.460 4.633 4.938 90.00 90.00 90.00
Site moments in Bohr magnetons follow the coordinates.
Element x y z (fractional)
1 Cd 0.000 0.000 0.000  0.01
2 Sn 0.000 0.500 0.500  0.01
3 Mg 0.500 0.500 0.000  0.01
4 Ce 0.500 0.000 0.500  0.73

---

6.
Density functional theory data (PBE) for TbCeMgCd after structural relaxation.

Calculated values
crystal system	cubic
magnetic moment	1.5	μB/f.u.
DOS at the Fermi energy	10.32	states/eV per cell
E	-3.3657	eV per atom
symmetry	F-43m, No. 216
formation enthalpy at 0 K	-38	kJ/mol of formula units

Lattice parameters (Å, degrees): 5.381 5.381 5.381 60.00 60.00 60.00
Site moments in Bohr magnetons follow the coordinates.
Element x y z (fractional)
1 Mg 0.250 0.250 0.250  0.01
2 Tb 0.000 0.000 0.000  0.16
3 Ce 0.500 0.500 0.500  0.89
4 Cd 0.750 0.750 0.750  0.01

---

7.
Density functional theory data (PBE) for Ce2ThMg2Cd2 after structural relaxation.

Calculated values
crystal system	monoclinic
magnetic moment	2.3	μB/f.u.
DOS at the Fermi energy	11.76	states/eV per cell
E	-3.4953	eV per atom
symmetry	C2/m, No. 12
formation enthalpy at 0 K	-15	kJ/mol of formula units

Lattice parameters (Å, degrees): 5.010 5.060 8.742 104.53 90.00 119.67
Site moments in Bohr magnetons follow the coordinates.
Element x y z (fractional)
1 Ce 0.118 0.236 0.422  0.94
2 Ce 0.882 0.764 0.578  0.94
3 Cd 0.279 0.559 0.811  0.00
4 Cd 0.721 0.441 0.189  0.00
5 Mg 0.397 0.794 0.220  0.00
6 Mg 0.603 0.206 0.780  0.00
7 Th 0.000 0.000 0.000  0.00

---

8.
Density functional theory data (PBE) for CeMgTlCd after structural relaxation.

Calculated values
crystal system	cubic
magnetic moment	1.0	μB/f.u.
DOS at the Fermi energy	6.63	states/eV per cell
E	-2.9350	eV per atom
symmetry	F-43m, No. 216
formation enthalpy at 0 K	-90	kJ/mol of formula units

Lattice parameters (Å, degrees): 5.257 5.257 5.257 60.00 60.00 60.00
Site moments in Bohr magnetons follow the coordinates.
Element x y z (fractional)
1 Cd 0.750 0.750 0.750  0.01
2 Ce 0.000 0.000 0.000  0.84
3 Tl 0.250 0.250 0.250  0.01
4 Mg 0.500 0.500 0.500  0.00

---

9.
Density functional theory data (PBE) for CeTmMg2Cd4 after structural relaxation.

Calculated values
crystal system	trigonal
magnetic moment	1.0	μB/f.u.
DOS at the Fermi energy	8.84	states/eV per cell
E	-2.4089	eV per atom
symmetry	R-3m, No. 166
formation enthalpy at 0 K	-195	kJ/mol of formula units

Lattice parameters (Å, degrees): 5.108 5.108 8.904 73.33 73.33 60.00
Site moments in Bohr magnetons follow the coordinates.
Element x y z (fractional)
1 Tm 0.500 0.500 0.500  -0.01
2 Cd 0.378 0.378 0.865  0.01
3 Cd 0.622 0.622 0.135  0.01
4 Cd 0.128 0.128 0.617  0.00
5 Cd 0.872 0.872 0.383  0.00
6 Mg 0.750 0.750 0.749  0.00
7 Mg 0.250 0.250 0.251  0.00
8 Ce 0.000 0.000 0.000  0.83

---

10.
Density functional theory data (PBE) for CeYMgCd after structural relaxation.

Calculated values
crystal system	cubic
magnetic moment	1.4	μB/f.u.
DOS at the Fermi energy	10.04	states/eV per cell
E	-3.8384	eV per atom
symmetry	F-43m, No. 216
formation enthalpy at 0 K	-43	kJ/mol of formula units

Lattice parameters (Å, degrees): 5.380 5.380 5.380 60.00 60.00 60.00
Site moments in Bohr magnetons follow the coordinates.
Element x y z (fractional)
1 Ce 0.250 0.250 0.250  0.86
2 Mg 0.000 0.000 0.000  0.01
3 Cd 0.500 0.500 0.500  0.01
4 Y 0.750 0.750 0.750  0.12

---

11.
Density functional theory data (PBE) for CeMgZnCd after structural relaxation.

Calculated values
crystal system	cubic
magnetic moment	0.7	μB/f.u.
DOS at the Fermi energy	6.92	states/eV per cell
E	-2.6610	eV per atom
symmetry	F-43m, No. 216
formation enthalpy at 0 K	-89	kJ/mol of formula units

Lattice parameters (Å, degrees): 5.054 5.054 5.054 60.00 60.00 60.00
Site moments in Bohr magnetons follow the coordinates.
Element x y z (fractional)
1 Cd 0.750 0.750 0.750  0.01
2 Ce 0.500 0.500 0.500  0.63
3 Zn 0.250 0.250 0.250  0.01
4 Mg 0.000 0.000 0.000  0.00

---

12.
Density functional theory data (PBE) for Ce3Mg2ZnCd3 after structural relaxation.

Calculated values
crystal system	hexagonal
magnetic moment	3.7	μB/f.u.
DOS at the Fermi energy	18.21	states/eV per cell
E	-2.8729	eV per atom
symmetry	P-62m, No. 189
formation enthalpy at 0 K	-82	kJ/mol of formula units

Lattice parameters (Å, degrees): 3.037 9.072 9.072 120.00 90.00 90.00
Site moments in Bohr magnetons follow the coordinates.
Element x y z (fractional)
1 Ce 0.500 0.283 0.283  0.98
2 Ce 0.500 0.000 0.717  0.98
3 Ce 0.500 0.717 0.000  0.98
4 Zn 0.000 0.000 0.000  0.01
5 Cd 0.000 0.000 0.375  0.00
6 Cd 0.000 0.625 0.625  0.00
7 Cd 0.000 0.375 0.000  0.00
8 Mg 0.500 0.333 0.667  0.00
9 Mg 0.500 0.667 0.333  0.00

---

magnetic moment of number 2 (CeMgCdSi)? 0.0 μB/f.u.

---

The lowest DOS at the Fermi energy belongs to which entry? CeMgCdSi